(i)
HgMo3Rh after structural relaxation, computed with PBE-GGA.

```
HgMo3Rh
1.0
4.862 0.000 0.000
0.000 4.862 0.000
0.000 0.000 4.862
Hg Mo Rh
1 3 1
Direct
0.000 0.000 0.000
0.000 0.000 0.500
0.000 0.500 0.000
0.500 0.000 0.000
0.500 0.500 0.500
```

- magnetic moment (μB per formula unit) = 0.9
- calculated volume (Å³ per cell) = 114.9
- crystal system = cubic
- SG = Pm-3m, No. 221

=====

(ii)
HgMo3Rh after structural relaxation, computed with PBE-GGA.

```
HgMo3Rh
1.0
4.720 0.000 0.000
0.000 4.720 0.000
0.000 0.000 4.720
Hg Mo Rh
1 3 1
Direct
0.000 0.000 0.000
0.000 0.500 0.500
0.500 0.000 0.500
0.500 0.500 0.000
0.500 0.500 0.500
```

- magnetic moment (μB per formula unit) = 0.0
- calculated volume (Å³ per cell) = 105.1
- crystal system = cubic
- SG = Pm-3m, No. 221

=====

Name the least stable of them. (i).

=====

(i)
HgMoRh3 after structural relaxation, computed with PBE-GGA.

```
HgMoRh3
1.0
4.809 0.000 0.000
0.000 4.809 0.000
0.000 0.000 4.809
Hg Mo Rh
1 1 3
Direct
0.000 0.000 0.000
0.500 0.500 0.500
0.000 0.000 0.500
0.000 0.500 0.000
0.500 0.000 0.000
```

- magnetic moment (μB per formula unit) = 0.2
- calculated volume (Å³ per cell) = 111.2
- crystal system = cubic
- SG = Pm-3m, No. 221

=====

(ii)
HgMoRh3 after structural relaxation, computed with PBE-GGA.

```
HgMoRh3
1.0
4.701 0.000 0.000
0.000 4.701 0.000
0.000 0.000 4.701
Hg Mo Rh
1 1 3
Direct
0.000 0.000 0.000
0.500 0.500 0.500
0.000 0.500 0.500
0.500 0.000 0.500
0.500 0.500 0.000
```

- magnetic moment (μB per formula unit) = 0.0
- calculated volume (Å³ per cell) = 103.9
- crystal system = cubic
- SG = Pm-3m, No. 221

=====

Name the least stable of them. (i).